# 1
First-principles (PBE) data for crystalline Zr2CuPt at its relaxed geometry, as listed in the Alexandria database.

- energy relative to the elements (kcal/mol of atoms) = -13.988
- symmetry = Pm
- total magnetization (μB per formula unit) = 0.000

```
4
Lattice="-2.578 0.413 3.395 -2.287 -2.035 -1.489 1.118 -5.072 1.466" Properties=species:S:1:pos:R:3 pbc="T T T"
Cu -1.099 -3.770 -0.376
Zr -1.225 -6.644 -0.122
Zr -1.517 -2.053 1.799
Pt -1.661 -4.889 2.035
```

***

# 2
First-principles (PBE) data for crystalline YHoBiAs at its relaxed geometry, as listed in the Alexandria database.

- energy relative to the elements (kcal/mol of atoms) = -25.211
- symmetry = R3m
- total magnetization (μB per formula unit) = 0.000

```
4
Lattice="-0.248 -3.368 2.523 2.304 -0.173 -3.526 5.272 4.660 3.216" Properties=species:S:1:pos:R:3 pbc="T T T"
Y 2.417 -1.684 2.175
Ho 5.941 2.999 1.729
Bi 3.470 1.284 2.718
As 2.768 -0.096 -2.712
```

***

# 3
First-principles (PBE) data for crystalline Tl2NiSb at its relaxed geometry, as listed in the Alexandria database.

- energy relative to the lowest polymorph listed for this composition (eV/atom) = 0.385
- energy relative to the elements, uncorrected (eV/atom) = 0.3994
- symmetry = F-43m
- total magnetization (μB per formula unit) = 0.001

```
4
Lattice="-0.133 -0.259 -5.150 -4.035 -2.170 -2.370 -3.320 2.930 -2.645" Properties=species:S:1:pos:R:3 pbc="T T T"
Ni -3.744 0.250 -5.082
Sb -1.872 0.125 -2.541
Tl 0.000 0.000 0.000
Tl -5.616 0.376 -7.623
```